SrUCo2O8 | PBE+U | optimized geometry

Output
**ρ**: 6.1 g/cm3
**Calculated volume**: 12.93 Å³/atom
**Total energy**: -6.985 eV per atom
**Size of the total moment**: 0.666 μB per atom

Structure (POSCAR):
```
SrUCo2O8
1.0
5.165 0.000 0.000
0.000 5.165 0.000
-2.582 -2.582 5.818
Sr U Co O
1 1 2 8
direct
0.750 0.250 0.500 Sr
0.000 0.000 0.000 U
0.500 0.500 0.000 Co
0.250 0.750 0.500 Co
0.735 0.840 0.110 O
0.375 0.270 0.110 O
0.592 0.707 0.665 O
0.072 0.958 0.665 O
0.042 0.408 0.335 O
0.293 0.928 0.335 O
0.160 0.625 0.890 O
0.730 0.265 0.890 O
```